Here is a relaxed NpCuGeAu crystal from Alexandria via LeMat-Bulk. Energies are from GGA-PBE.

The structure in POSCAR format:
```
NpCuGeAu
1.0
0.000 3.346 3.346
3.346 0.000 3.346
3.346 3.346 0.000
Np Cu Ge Au
1 1 1 1
Direct
0.000 0.000 0.000 Np
0.250 0.250 0.250 Cu
0.750 0.750 0.750 Ge
0.500 0.500 0.500 Au
```

## Properties
**Space group**: F-43m (216)
**ΔE_f**: 13 kJ/mol of formula units
**VASP energy**: -6.20 eV per atom

Here is a relaxed Pa2Cu3Ge4Au crystal from Alexandria via LeMat-Bulk. Energies are from GGA-PBE.

The structure in POSCAR format:
```
Pa2Cu3Ge4Au
1.0
4.273 0.000 0.000
0.000 4.273 0.000
0.000 0.000 9.782
Pa Cu Ge Au
2 3 4 1
Direct
0.000 0.500 0.242 Pa
0.500 0.000 0.758 Pa
0.000 0.500 0.883 Cu
0.500 0.000 0.117 Cu
0.500 0.500 0.500 Cu
0.000 0.000 0.000 Ge
0.000 0.500 0.647 Ge
0.500 0.000 0.353 Ge
0.500 0.500 0.000 Ge
0.000 0.000 0.500 Au
```

## Properties
**Space group**: P-4m2 (115)
**ΔE_f**: -279 kJ/mol of formula units
**VASP energy**: -5.59 eV per atom